# Ta2SiW

A geometry-optimized Ta2SiW structure (GGA-PBE, Alexandria).

Cell and atoms, written as extended XYZ:
```
4
Lattice="5.159 0.012 0.023 4.037 3.212 0.023 1.885 0.661 3.981" Properties=species:S:1:pos:R:3 pbc="T T T"
Ta 1.924 0.675 3.962
Si 2.770 0.971 1.007
W 8.310 2.914 3.020
Ta 5.501 1.929 2.032
```

Results
As for the total magnetization: 0.00 μB/f.u. As for the crystal system: monoclinic. As for the energy: -10.6290 eV per atom.